Record 1
## Y2TlAg (PBE)

Data for crystalline Y2TlAg at its relaxed geometry.

Its total energy is -4.90 eV/atom.

The structure belongs to space group Pmmm (No. 47); the cell edges are 3.656, 3.698 and 7.659 Å and the angles 90.00°, 90.00° and 90.00°. Symmetry generates all atoms from Y at (0.000, 0.000, 0.235), Tl at (0.500, 0.500, 0.500) and Ag at (0.500, 0.500, 0.000).

***

Record 2
## YTlAg2 (PBE)

Data for crystalline YTlAg2 at its relaxed geometry.

Its total energy is -3.76 eV/atom.

The structure belongs to space group Pmmm (No. 47); the cell edges are 3.373, 4.905 and 5.783 Å and the angles 90.00°, 90.00° and 90.00°. Symmetry generates all atoms from Y at (0.000, 0.000, 0.000), Tl at (0.500, 0.000, 0.500) and Ag at (0.500, 0.500, 0.238).

***

Record 3
## YTl2Ag (PBE)

Data for crystalline YTl2Ag at its relaxed geometry.

Its total energy is -3.57 eV/atom.

The structure belongs to space group I-42d (No. 122); the cell edges are 8.190, 8.190 and 6.410 Å and the angles 90.00°, 90.00° and 90.00°. Symmetry generates all atoms from Y at (0.000, 0.000, 0.000), Tl at (0.220, 0.250, 0.625) and Ag at (0.000, 0.000, 0.500).

***

Record 4
## YTlAg2 (PBE)

Data for crystalline YTlAg2 at its relaxed geometry.

Its total energy is -3.56 eV/atom.

The structure belongs to space group I-42d (No. 122); the cell edges are 8.097, 8.097 and 6.177 Å and the angles 90.00°, 90.00° and 90.00°. Symmetry generates all atoms from Y at (0.000, 0.000, 0.000), Tl at (0.000, 0.000, 0.500) and Ag at (0.235, 0.250, 0.625).

***

> Which value of total energy does entry 3 give?

-3.57 eV/atom